one | Material: Ba5Mo4
Method: DFT, PBE-GGA
State: optimized geometry

Cell lengths 8.375, 8.375, 8.375 Å; angles 94.68, 94.68, 146.79 degrees
Fractional coordinates of all 9 atoms:
Ba (0.000, 0.000, 0.000)
Ba (0.325, 0.325, 0.651)
Ba (0.325, 0.675, 0.000)
Ba (0.675, 0.325, 0.000)
Ba (0.675, 0.675, 0.349)
Mo (0.000, 0.401, 0.401)
Mo (0.000, 0.599, 0.599)
Mo (0.401, 0.000, 0.401)
Mo (0.599, 0.000, 0.599)

Output
- Total magnetization: 0.00 μB/cell
- ρ: 5.765 g cm⁻³


two | Material: Ba5Mo4
Method: DFT, PBE-GGA
State: optimized geometry

Cell lengths 10.650, 10.650, 6.464 Å; angles 90.00, 90.00, 120.00 degrees
Fractional coordinates of all 18 atoms:
Ba (0.000, 0.344, 0.250)
Ba (0.000, 0.656, 0.750)
Ba (0.333, 0.667, 0.000)
Ba (0.333, 0.667, 0.500)
Ba (0.344, 0.000, 0.250)
Ba (0.344, 0.344, 0.750)
Ba (0.656, 0.000, 0.750)
Ba (0.656, 0.656, 0.250)
Ba (0.667, 0.333, 0.000)
Ba (0.667, 0.333, 0.500)
Mo (0.000, 0.000, 0.000)
Mo (0.000, 0.000, 0.500)
Mo (0.000, 0.190, 0.750)
Mo (0.000, 0.810, 0.250)
Mo (0.190, 0.000, 0.750)
Mo (0.190, 0.190, 0.250)
Mo (0.810, 0.000, 0.250)
Mo (0.810, 0.810, 0.750)

Output
- Total magnetization: 8.68 μB/cell
- ρ: 5.598 g cm⁻³


Which structure wins on stability? one wins.


one | Material: BaMoSeN2
Method: DFT, PBE-GGA
State: optimized geometry

Cell lengths 4.283, 4.283, 6.300 Å; angles 90.00, 90.00, 90.00 degrees
Fractional coordinates of all 5 atoms:
Ba (0.000, 0.000, 0.000)
Mo (0.500, 0.500, 0.500)
Se (0.000, 0.000, 0.500)
N (0.000, 0.500, 0.000)
N (0.500, 0.000, 0.000)

Output
- Total magnetization: 0.70 μB/cell
- ρ: 4.889 g cm⁻³


two | Material: BaMoSeN2
Method: DFT, PBE-GGA
State: optimized geometry

Cell lengths 4.187, 4.187, 5.135 Å; angles 90.00, 90.00, 90.00 degrees
Fractional coordinates of all 5 atoms:
Ba (0.000, 0.000, 0.000)
Mo (0.500, 0.500, 0.500)
Se (0.500, 0.500, 0.000)
N (0.000, 0.500, 0.500)
N (0.500, 0.000, 0.500)

Output
- Total magnetization: 0.00 μB/cell
- ρ: 6.278 g cm⁻³


Which structure wins on stability? two wins.


one | Material: Ba2NaMo
Method: DFT, PBE-GGA
State: optimized geometry

Cell lengths 6.007, 6.007, 6.007 Å; angles 60.00, 60.00, 60.00 degrees
Fractional coordinates of all 4 atoms:
Ba (0.250, 0.250, 0.250)
Ba (0.750, 0.750, 0.750)
Na (0.000, 0.000, 0.000)
Mo (0.500, 0.500, 0.500)

Output
- Total magnetization: 3.05 μB/cell
- ρ: 4.264 g cm⁻³


two | Material: Ba2NaMo
Method: DFT, PBE-GGA
State: optimized geometry

Cell lengths 7.571, 7.571, 7.571 Å; angles 102.72, 102.72, 124.04 degrees
Fractional coordinates of all 8 atoms:
Ba (0.009, 0.625, 0.884)
Ba (0.375, 0.259, 0.384)
Ba (0.741, 0.125, 0.116)
Ba (0.875, 0.991, 0.616)
Na (0.250, 0.750, 0.500)
Na (0.500, 0.500, 0.000)
Mo (0.000, 0.000, 0.000)
Mo (0.750, 0.250, 0.500)

Output
- Total magnetization: 0.12 μB/cell
- ρ: 4.116 g cm⁻³


Which structure wins on stability? one wins.


one | Material: BaNb2Mo
Method: DFT, PBE-GGA
State: optimized geometry

Cell lengths 4.904, 4.904, 4.904 Å; angles 60.00, 60.00, 60.00 degrees
Fractional coordinates of all 4 atoms:
Ba (0.000, 0.000, 0.000)
Nb (0.250, 0.250, 0.250)
Nb (0.750, 0.750, 0.750)
Mo (0.500, 0.500, 0.500)

Output
- Total magnetization: 0.00 μB/cell
- ρ: 8.347 g cm⁻³


two | Material: BaNb2Mo
Method: DFT, PBE-GGA
State: optimized geometry

Cell lengths 9.537, 9.537, 9.537 Å; angles 147.74, 147.74, 46.27 degrees
Fractional coordinates of all 8 atoms:
Ba (0.000, 0.000, 0.000)
Ba (0.750, 0.250, 0.500)
Nb (0.368, 0.625, 0.243)
Nb (0.375, 0.618, 0.743)
Nb (0.382, 0.125, 0.757)
Nb (0.875, 0.632, 0.257)
Mo (0.250, 0.750, 0.500)
Mo (0.500, 0.500, 0.000)

Output
- Total magnetization: 0.00 μB/cell
- ρ: 5.650 g cm⁻³


Which structure wins on stability? one wins.


one | Material: BaNbMo2
Method: DFT, PBE-GGA
State: optimized geometry

Cell lengths 9.670, 9.670, 9.670 Å; angles 149.57, 149.57, 43.57 degrees
Fractional coordinates of all 8 atoms:
Ba (0.375, 0.625, 0.750)
Ba (0.625, 0.375, 0.250)
Nb (0.125, 0.875, 0.250)
Nb (0.875, 0.125, 0.750)
Mo (0.000, 0.000, 0.000)
Mo (0.000, 0.000, 0.500)
Mo (0.000, 0.500, 0.000)
Mo (0.500, 0.000, 0.500)

Output
- Total magnetization: 0.00 μB/cell
- ρ: 6.060 g cm⁻³


two | Material: BaNbMo2
Method: DFT, PBE-GGA
State: optimized geometry

Cell lengths 4.861, 4.861, 4.861 Å; angles 60.00, 60.00, 60.00 degrees
Fractional coordinates of all 4 atoms:
Ba (0.000, 0.000, 0.000)
Nb (0.500, 0.500, 0.500)
Mo (0.250, 0.250, 0.250)
Mo (0.750, 0.750, 0.750)

Output
- Total magnetization: 0.00 μB/cell
- ρ: 8.632 g cm⁻³


Which structure wins on stability? two wins.


one | Material: BaNiMo2
Method: DFT, PBE-GGA
State: optimized geometry

Cell lengths 3.327, 3.327, 7.632 Å; angles 90.00, 90.00, 90.00 degrees
Fractional coordinates of all 4 atoms:
Ba (0.000, 0.000, 0.000)
Ni (0.000, 0.000, 0.500)
Mo (0.500, 0.500, 0.351)
Mo (0.500, 0.500, 0.649)

Output
- Total magnetization: 0.01 μB/cell
- ρ: 7.623 g cm⁻³


two | Material: BaNiMo2
Method: DFT, PBE-GGA
State: optimized geometry

Cell lengths 6.260, 6.260, 6.260 Å; angles 153.88, 133.14, 54.44 degrees
Fractional coordinates of all 4 atoms:
Ba (0.000, 0.000, 0.000)
Ni (0.500, 0.500, 0.000)
Mo (0.293, 0.793, 0.500)
Mo (0.707, 0.207, 0.500)

Output
- Total magnetization: 0.00 μB/cell
- ρ: 8.214 g cm⁻³


Which structure wins on stability? one wins.